Entry 1:
VASP calculation (PBE) on a relaxed LiCuPdF6 crystal.

```
data_LiCuPdF6
_chemical_formula_sum 'Li2 Cu2 Pd2 F12'
_cell_length_a 4.7878
_cell_length_b 4.7878
_cell_length_c 9.4500
_cell_angle_alpha 90.00
_cell_angle_beta 90.00
_cell_angle_gamma 90.00
_symmetry_space_group_name_H-M 'P 42 n m'
_symmetry_Int_Tables_number 102
loop_
_symmetry_equiv_pos_as_xyz
'x,y,z'
'-y+1/2,x+1/2,z+1/2'
'-x,-y,z'
'y+1/2,-x+1/2,z+1/2'
'-x+1/2,y+1/2,z+1/2'
'y,x,z'
'x+1/2,-y+1/2,z+1/2'
'-y,-x,z'
loop_
_atom_site_label
_atom_site_type_symbol
_atom_site_fract_x
_atom_site_fract_y
_atom_site_fract_z
Li1 Li 0.0000 0.0000 0.0000
Cu1 Cu 0.0000 0.0000 0.3282
Pd1 Pd 0.0000 0.0000 0.6659
F1 F 0.1918 0.1918 0.4983
F2 F 0.1964 0.1964 0.1709
F3 F 0.1995 0.1995 0.8263
```

Properties
The total energy is -4.233 eV per atom. The raw formation energy is -1.740 eV/atom. Its crystal system is tetragonal.

Entry 2:
VASP calculation (PBE) on a relaxed LiPmCu2F8 crystal.

```
data_LiPmCu2F8
_chemical_formula_sum 'Li2 Pm2 Cu4 F16'
_cell_length_a 5.4426
_cell_length_b 5.4426
_cell_length_c 10.4064
_cell_angle_alpha 90.00
_cell_angle_beta 90.00
_cell_angle_gamma 90.00
_symmetry_space_group_name_H-M 'I -4'
_symmetry_Int_Tables_number 82
loop_
_symmetry_equiv_pos_as_xyz
'x,y,z'
'y,-x,-z'
'-x,-y,z'
'-y,x,-z'
'x+1/2,y+1/2,z+1/2'
'y+1/2,-x+1/2,-z+1/2'
'-x+1/2,-y+1/2,z+1/2'
'-y+1/2,x+1/2,-z+1/2'
loop_
_atom_site_label
_atom_site_type_symbol
_atom_site_fract_x
_atom_site_fract_y
_atom_site_fract_z
Li1 Li 0.0000 0.0000 0.0000
Pm1 Pm 0.0000 0.5000 0.2500
Cu1 Cu 0.0000 0.0000 0.5000
Cu2 Cu 0.0000 0.5000 0.7500
F1 F 0.1481 0.7960 0.8096
F2 F 0.1576 0.2957 0.4397
```

Properties
The total energy is -5.020 eV per atom. The raw formation energy is -2.535 eV/atom. Its crystal system is tetragonal.

Entry 3:
VASP calculation (PBE) on a relaxed Li2PrCuF8 crystal.

```
data_Li2PrCuF8
_chemical_formula_sum 'Li2 Pr1 Cu1 F8'
_cell_length_a 4.0020
_cell_length_b 5.2623
_cell_length_c 7.7738
_cell_angle_alpha 94.95
_cell_angle_beta 98.32
_cell_angle_gamma 90.60
_symmetry_space_group_name_H-M 'P -1'
_symmetry_Int_Tables_number 2
loop_
_symmetry_equiv_pos_as_xyz
'x,y,z'
'-x,-y,-z'
loop_
_atom_site_label
_atom_site_type_symbol
_atom_site_fract_x
_atom_site_fract_y
_atom_site_fract_z
Li1 Li 0.0737 0.0693 0.1926
Pr1 Pr 0.5000 0.5000 0.0000
Cu1 Cu 0.5000 0.5000 0.5000
F1 F 0.0076 0.7463 0.0510
F2 F 0.1312 0.3232 0.3935
F3 F 0.4305 0.8456 0.8259
F4 F 0.4899 0.3272 0.6888
```

Properties
The total energy is -5.049 eV per atom. The raw formation energy is -2.743 eV/atom. Its crystal system is triclinic.

Entry 4:
VASP calculation (PBE) on a relaxed LiCuPtF6 crystal.

```
data_LiCuPtF6
_chemical_formula_sum 'Li2 Cu2 Pt2 F12'
_cell_length_a 4.8156
_cell_length_b 4.8156
_cell_length_c 9.6291
_cell_angle_alpha 90.00
_cell_angle_beta 90.00
_cell_angle_gamma 90.00
_symmetry_space_group_name_H-M 'P 42 n m'
_symmetry_Int_Tables_number 102
loop_
_symmetry_equiv_pos_as_xyz
'x,y,z'
'-y+1/2,x+1/2,z+1/2'
'-x,-y,z'
'y+1/2,-x+1/2,z+1/2'
'-x+1/2,y+1/2,z+1/2'
'y,x,z'
'x+1/2,-y+1/2,z+1/2'
'-y,-x,z'
loop_
_atom_site_label
_atom_site_type_symbol
_atom_site_fract_x
_atom_site_fract_y
_atom_site_fract_z
Li1 Li 0.0000 0.0000 0.0000
Cu1 Cu 0.0000 0.0000 0.3256
Pt1 Pt 0.0000 0.0000 0.6642
F1 F 0.1918 0.1918 0.5028
F2 F 0.1937 0.1937 0.8234
F3 F 0.2011 0.2011 0.1660
```

Properties
The total energy is -4.296 eV per atom. The raw formation energy is -1.709 eV/atom. Its crystal system is tetragonal.

Entry 5:
VASP calculation (PBE) on a relaxed Rb2LiCuF6 crystal.

```
data_Rb2LiCuF6
_chemical_formula_sum 'Rb8 Li4 Cu4 F24'
_cell_length_a 8.2828
_cell_length_b 8.2828
_cell_length_c 8.2828
_cell_angle_alpha 90.00
_cell_angle_beta 90.00
_cell_angle_gamma 90.00
_symmetry_space_group_name_H-M 'F m -3 m'
_symmetry_Int_Tables_number 225
_symmetry_space_group_name_Hall '-F 4 2 3'
loop_
_atom_site_label
_atom_site_type_symbol
_atom_site_fract_x
_atom_site_fract_y
_atom_site_fract_z
Rb1 Rb 0.2500 0.2500 0.2500
Li1 Li 0.0000 0.0000 0.0000
Cu1 Cu 0.0000 0.0000 0.5000
F1 F 0.0000 0.0000 0.2641
```

Properties
The total energy is -4.233 eV per atom. The raw formation energy is -2.315 eV/atom. Its crystal system is cubic.

Entry 6:
VASP calculation (PBE) on a relaxed Rb2Li2CuF6 crystal.

```
data_Rb2Li2CuF6
_chemical_formula_sum 'Rb6 Li6 Cu3 F18'
_cell_length_a 5.9509
_cell_length_b 5.9509
_cell_length_c 16.6094
_cell_angle_alpha 90.00
_cell_angle_beta 90.00
_cell_angle_gamma 120.00
_symmetry_space_group_name_H-M 'R -3 m'
_symmetry_Int_Tables_number 166
_symmetry_space_group_name_Hall '-R 3 2"'
loop_
_atom_site_label
_atom_site_type_symbol
_atom_site_fract_x
_atom_site_fract_y
_atom_site_fract_z
Rb1 Rb 0.0000 0.0000 0.2206
Li1 Li 0.0000 0.0000 0.4103
Cu1 Cu 0.0000 0.0000 0.0000
F1 F 0.0138 0.5069 0.7419
```

Properties
The total energy is -4.340 eV per atom. The raw formation energy is -2.423 eV/atom. Its crystal system is trigonal.

Entry 7:
VASP calculation (PBE) on a relaxed Rb3Li2CuF9 crystal.

```
data_Rb3Li2CuF9
_chemical_formula_sum 'Rb3 Li2 Cu1 F9'
_cell_length_a 5.9746
_cell_length_b 5.9746
_cell_length_c 7.4301
_cell_angle_alpha 90.00
_cell_angle_beta 90.00
_cell_angle_gamma 120.00
_symmetry_space_group_name_H-M 'P -3 m 1'
_symmetry_Int_Tables_number 164
_symmetry_space_group_name_Hall '-P 3 2"'
loop_
_atom_site_label
_atom_site_type_symbol
_atom_site_fract_x
_atom_site_fract_y
_atom_site_fract_z
Rb1 Rb 0.0000 0.0000 0.0000
Rb2 Rb 0.3333 0.6667 0.6724
Li1 Li 0.3333 0.6667 0.0999
Cu1 Cu 0.0000 0.0000 0.5000
F1 F 0.0000 0.5000 0.0000
F2 F 0.1487 0.2974 0.3541
```

Properties
The total energy is -4.161 eV per atom. The raw formation energy is -2.316 eV/atom. Its crystal system is trigonal.

Entry 8:
VASP calculation (PBE) on a relaxed RbLiCuF4 crystal.

```
data_RbLiCuF4
_chemical_formula_sum 'Rb2 Li2 Cu2 F8'
_cell_length_a 5.4757
_cell_length_b 5.5456
_cell_length_c 6.8165
_cell_angle_alpha 90.00
_cell_angle_beta 96.31
_cell_angle_gamma 90.00
_symmetry_space_group_name_H-M 'P 1 21/m 1'
_symmetry_Int_Tables_number 11
loop_
_symmetry_equiv_pos_as_xyz
'x,y,z'
'-x,-y,-z'
'-x,y+1/2,-z'
'x,-y+1/2,z'
loop_
_atom_site_label
_atom_site_type_symbol
_atom_site_fract_x
_atom_site_fract_y
_atom_site_fract_z
Rb1 Rb 0.2062 0.2500 0.0823
Li1 Li 0.3533 0.2500 0.6514
Cu1 Cu 0.1769 0.7500 0.4551
F1 F 0.1058 0.0129 0.6798
F2 F 0.3281 0.7500 0.1995
F3 F 0.4946 0.2500 0.4191
```

Properties
The total energy is -4.274 eV per atom. The raw formation energy is -2.208 eV/atom. Its crystal system is monoclinic.